# 1
! NdNpCo PBE optimized geometry; values from VASP
! Total DFT energy (no corrections), eV per atom: -7.8238
! Symmetry: No. 216
! Distance to the lowest polymorph of the same formula, meV/atom: 0
! Formation energy from the elements, eV per atom: 0.3892
&SYSTEM
  ibrav = 0, nat = 3, ntyp = 3
/
ATOMIC_SPECIES
Nd 144.24 Nd.upf
Np 237.00 Np.upf
Co 58.93 Co.upf
CELL_PARAMETERS angstrom
0.000 3.311 3.311
3.311 0.000 3.311
3.311 3.311 0.000
ATOMIC_POSITIONS crystal
Nd 0.000 0.000 0.000
Np 0.500 0.500 0.500
Co 0.250 0.250 0.250

***

# 2
! TaTlNiOs PBE optimized geometry; values from VASP
! Total DFT energy (no corrections), eV per atom: -7.2112
! Symmetry: No. 216
&SYSTEM
  ibrav = 0, nat = 4, ntyp = 4
/
ATOMIC_SPECIES
Ta 180.95 Ta.upf
Tl 204.38 Tl.upf
Ni 58.69 Ni.upf
Os 190.23 Os.upf
CELL_PARAMETERS angstrom
0.000 3.201 3.201
3.201 0.000 3.201
3.201 3.201 0.000
ATOMIC_POSITIONS crystal
Ta 0.000 0.000 0.000
Tl 0.250 0.250 0.250
Ni 0.500 0.500 0.500
Os 0.750 0.750 0.750

***

# 3
! MgNbCoHg PBE optimized geometry; values from VASP
! Total DFT energy (no corrections), eV per atom: -4.5923
! Symmetry: No. 216
! Distance to the lowest polymorph of the same formula, meV/atom: 0
&SYSTEM
  ibrav = 0, nat = 4, ntyp = 4
/
ATOMIC_SPECIES
Mg 24.30 Mg.upf
Nb 92.91 Nb.upf
Co 58.93 Co.upf
Hg 200.59 Hg.upf
CELL_PARAMETERS angstrom
0.000 3.173 3.173
3.173 0.000 3.173
3.173 3.173 0.000
ATOMIC_POSITIONS crystal
Mg 0.000 0.000 0.000
Nb 0.250 0.250 0.250
Co 0.500 0.500 0.500
Hg 0.750 0.750 0.750

***

# 4
! PrZnCd PBE optimized geometry; values from VASP
! Total DFT energy (no corrections), eV per atom: -2.5260
! Symmetry: No. 216
! Formation energy from the elements, eV per atom: -0.2143
&SYSTEM
  ibrav = 0, nat = 3, ntyp = 3
/
ATOMIC_SPECIES
Pr 140.91 Pr.upf
Zn 65.41 Zn.upf
Cd 112.41 Cd.upf
CELL_PARAMETERS angstrom
0.000 3.399 3.399
3.399 0.000 3.399
3.399 3.399 0.000
ATOMIC_POSITIONS crystal
Pr 0.000 0.000 0.000
Zn 0.750 0.750 0.750
Cd 0.500 0.500 0.500